! LiPmTl2, relaxed, DFT GGA-PBEsol; values from VASP
! formation energy from the elements	-397	meV per atom
&SYSTEM
  ibrav = 0, nat = 4, ntyp = 3
/
ATOMIC_SPECIES
Li 6.94 Li.upf
Pm 145.00 Pm.upf
Tl 204.38 Tl.upf
CELL_PARAMETERS angstrom
0.000 3.658 3.658
3.658 0.000 3.658
3.658 3.658 0.000
ATOMIC_POSITIONS crystal
Li 0.000 0.000 0.000
Pm 0.500 0.500 0.500
Tl 0.250 0.250 0.250
Tl 0.750 0.750 0.750


! Li2PmTl, relaxed, DFT GGA-PBEsol; values from VASP
! formation energy from the elements	-294	meV per atom
&SYSTEM
  ibrav = 0, nat = 4, ntyp = 3
/
ATOMIC_SPECIES
Li 6.94 Li.upf
Pm 145.00 Pm.upf
Tl 204.38 Tl.upf
CELL_PARAMETERS angstrom
0.000 3.431 3.431
3.431 0.000 3.431
3.431 3.431 0.000
ATOMIC_POSITIONS crystal
Li 0.250 0.250 0.250
Li 0.750 0.750 0.750
Pm 0.000 0.000 0.000
Tl 0.500 0.500 0.500